Entry 1:
Computed, not measured: a relaxed LaSc2Pt crystal at the PBE level of DFT.

The space group is R3m (No. 160, hexagonal axes) and the conventional cell measures 3.7244, 3.7244 and 26.7392 Å, with angles of 90.00, 90.00 and 120.00 degrees. The distinct sites, in fractional coordinates, are La at (0.0000, 0.0000, 0.0000), Sc at (0.0000, 0.0000, 0.2296), Sc at (0.0000, 0.0000, 0.4673) and Pt at (0.0000, 0.0000, 0.7420).

The value obtained for the formation energy is -372 meV/atom.


Entry 2:
Computed, not measured: a relaxed La3ScPt2 crystal at the PBE level of DFT.

The space group is Immm (No. 71) and the conventional cell measures 4.6650, 4.7549 and 14.8151 Å, with angles of 90.00, 90.00 and 90.00 degrees. The distinct sites, in fractional coordinates, are La at (0.0000, 0.0000, 0.0000), La at (0.0000, 0.5000, 0.1863), Sc at (0.0000, 0.0000, 0.5000) and Pt at (0.0000, 0.5000, 0.3753).

The value obtained for the formation energy is -777 meV/atom.